1.
An optimized crystal structure of K2ZrPb. Source: the Alexandria database, functional PBE.

DOS at the Fermi energy	2.358	states/eV/cell
final energy	-12.43	eV per formula unit
total magnetic moment	1.424	μB per cell
space-group type	R-3m
energy of formation	2.0	eV/f.u.

```
K2ZrPb
1.0
1.7161 0.9908 13.1804
-1.7161 0.9908 13.1804
0.0000 -1.9815 13.1804
K Zr Pb
2 1 1
direct
0.2477 0.2477 0.2477 K
0.7523 0.7523 0.7523 K
0.0000 0.0000 0.0000 Zr
0.5000 0.5000 0.5000 Pb
```

=====

2.
An optimized crystal structure of TbSm2NpN4. Source: the Alexandria database, functional PBE.

DOS at the Fermi energy	5.748	states/eV/cell
final energy	-71.92	eV per formula unit
total magnetic moment	2.864	μB per cell
space-group type	P2/m
formation energy (no corrections)	-1452	meV/atom

```
TbSm2NpN4
1.0
6.0627 0.0000 0.0000
0.0000 3.5205 0.0000
-1.9762 0.0000 5.7583
Tb Sm Np N
1 2 1 4
direct
0.0000 0.0000 0.0000 Tb
0.0000 0.5000 0.5000 Sm
0.5000 0.0000 0.5000 Sm
0.5000 0.5000 0.0000 Np
0.2614 0.5000 0.2289 N
0.2641 0.0000 0.7694 N
0.7359 0.0000 0.2306 N
0.7386 0.5000 0.7711 N
```

=====

3.
An optimized crystal structure of K4Pm3BiTe8. Source: the Alexandria database, functional PBE.

DOS at the Fermi energy	0.000	states/eV/cell
final energy	-67.08	eV per formula unit
total magnetic moment	0.000	μB per cell
space-group type	C2/m
formation energy (no corrections)	-1214	meV/atom

```
K4Pm3BiTe8
1.0
7.9703 -4.6015 0.0000
7.9703 4.6015 0.0000
-5.3238 0.0000 8.2515
K Pm Bi Te
4 3 1 8
direct
0.0000 0.0000 0.0000 K
0.0000 0.5000 0.0000 K
0.5000 0.0000 0.0000 K
0.5000 0.5000 0.0000 K
0.0000 0.0000 0.5000 Pm
0.0000 0.5000 0.5000 Pm
0.5000 0.0000 0.5000 Pm
0.5000 0.5000 0.5000 Bi
0.2379 0.2379 0.7131 Te
0.2381 0.7375 0.7125 Te
0.2625 0.2625 0.2875 Te
0.2625 0.7619 0.2875 Te
0.7375 0.2381 0.7125 Te
0.7375 0.7375 0.7125 Te
0.7619 0.2625 0.2875 Te
0.7621 0.7621 0.2869 Te
```

=====

4.
An optimized crystal structure of In2SeS. Source: the Alexandria database, functional PBE.

DOS at the Fermi energy	2.155	states/eV/cell
final energy	-14.71	eV per formula unit
total magnetic moment	0.000	μB per cell
space-group type	R-3m
formation energy (no corrections)	-406	meV/atom

```
In2SeS
1.0
2.0481 1.1825 6.7245
-2.0481 1.1825 6.7245
0.0000 -2.3650 6.7245
In Se S
2 1 1
direct
0.2467 0.2467 0.2467 In
0.7533 0.7533 0.7533 In
0.0000 0.0000 0.0000 Se
0.5000 0.5000 0.5000 S
```

=====

5.
An optimized crystal structure of Tb7CeNd12. Source: the Alexandria database, functional PBE.

DOS at the Fermi energy	33.656	states/eV/cell
final energy	-92.80	eV per formula unit
total magnetic moment	1.011	μB per cell
space-group type	R-3
energy of formation	2.8	eV/f.u.

```
Tb7CeNd12
1.0
8.0168 4.6285 3.0803
-8.0168 4.6285 3.0803
0.0000 -9.2570 3.0803
Tb Ce Nd
7 1 12
direct
0.0000 0.0000 0.0000 Tb
0.0442 0.3421 0.2152 Tb
0.2152 0.0442 0.3421 Tb
0.3421 0.2152 0.0442 Tb
0.6579 0.7848 0.9558 Tb
0.7848 0.9558 0.6579 Tb
0.9558 0.6579 0.7848 Tb
0.5000 0.5000 0.5000 Ce
0.0832 0.8758 0.5819 Nd
0.1242 0.4181 0.9168 Nd
0.2308 0.5956 0.6559 Nd
0.3441 0.7692 0.4044 Nd
0.4044 0.3441 0.7692 Nd
0.4181 0.9168 0.1242 Nd
0.5819 0.0832 0.8758 Nd
0.5956 0.6559 0.2308 Nd
0.6559 0.2308 0.5956 Nd
0.7692 0.4044 0.3441 Nd
0.8758 0.5819 0.0832 Nd
0.9168 0.1242 0.4181 Nd
```

=====

6.
An optimized crystal structure of YVCu. Source: the Alexandria database, functional PBE.

DOS at the Fermi energy	6.908	states/eV/cell
final energy	-19.23	eV per formula unit
total magnetic moment	0.001	μB per cell
space-group type	Pm
energy of formation	0.4	eV/f.u.

```
YVCu
1.0
4.0049 0.0000 0.0000
0.0000 4.0207 0.0000
-0.5277 0.0000 7.2838
Y V Cu
2 2 2
direct
0.0000 0.0000 0.0000 Y
0.4639 0.5000 0.6692 Y
0.5271 0.5000 0.1567 V
0.9391 0.5000 0.3395 V
0.4500 0.0000 0.3516 Cu
0.9619 0.0000 0.5705 Cu
```

=====

7.
An optimized crystal structure of PrYGaGe. Source: the Alexandria database, functional PBE.

DOS at the Fermi energy	2.406	states/eV/cell
final energy	-21.17	eV per formula unit
total magnetic moment	0.000	μB per cell
space-group type	F-43m
energy of formation	-2.3	eV/f.u.

```
PrYGaGe
1.0
0.0000 3.6560 3.6560
3.6560 0.0000 3.6560
3.6560 3.6560 0.0000
Pr Y Ga Ge
1 1 1 1
direct
0.0000 0.0000 0.0000 Pr
0.5000 0.5000 0.5000 Y
0.2500 0.2500 0.2500 Ga
0.7500 0.7500 0.7500 Ge
```

=====

Question: Which value of total magnetic moment does entry 7 give?
Answer: 0.000 μB per cell

=====

Question: Which of these has the highest final energy?
Answer: K2ZrPb

=====

Question: Look up the final energy of the sixth one.
Answer: -19.23 eV per formula unit